A geometry-optimized TcIr2Pb structure, computed with PBE-GGA.

Computed properties:
**Symmetry**: R3m

Lattice parameters (Å, degrees): 9.371 9.371 9.371 17.95 17.95 17.95
Fractional coordinates of all 4 atoms:
Tc  0.000  0.000  0.000
Ir  0.486  0.486  0.486
Ir  0.740  0.740  0.740
Pb  0.241  0.241  0.241

---

A geometry-optimized TcIr2Pb structure, computed with PBE-GGA.

Computed properties:
**Symmetry**: P4mm

Lattice parameters (Å, degrees): 2.946 2.946 7.771 90.00 90.00 90.00
Fractional coordinates of all 4 atoms:
Tc  0.000  0.000  0.000
Ir  0.000  0.000  0.453
Ir  0.500  0.500  0.208
Pb  0.500  0.500  0.718

---

A geometry-optimized TlTcIrPb2 structure, computed with PBE-GGA.

Computed properties:
**Symmetry**: P4/mmm

Lattice parameters (Å, degrees): 5.601 5.601 5.172 90.00 90.00 90.00
Fractional coordinates of all 5 atoms:
Tl  0.000  0.000  0.000
Tc  0.000  0.000  0.500
Ir  0.500  0.500  0.500
Pb  0.000  0.500  0.000
Pb  0.500  0.000  0.000

---

no.,M_tot (μB/f.u.),DOS(E_F) (states/eV per atom),energy of formation (eV per atom)
1,0.00,1.222,0.55
2,0.00,0.909,0.45
3,4.12,1.499,2.07